DFT (PBE) results for a geometry-optimized Fe2CuPtN structure.

Calculated values
**Raw total energy**: -35.59 eV for the cell shown
**Calculated volume**: 58.2 Å³/cell
**ΔE_f (raw)**: -0.0412 eV/atom

a b c (Å): 3.830 3.830 3.965
angles (deg): 90.00 90.00 90.00
Space group P4/mmm (No. 123)
Unique sites:
Fe  0.000  0.500  0.000 [2 per cell]
Cu  0.000  0.000  0.500 [1 per cell]
Pt  0.500  0.500  0.500 [1 per cell]
N  0.000  0.000  0.000 [1 per cell]



DFT (PBE) results for a geometry-optimized La4IrPb2 structure.

Calculated values
**Calculated formation energy**: -0.6398 eV per atom
**Raw total energy**: -80.93 eV for the cell shown
**Calculated volume**: 451.2 Å³/cell

a b c (Å): 12.103 4.763 9.072
angles (deg): 90.00 120.36 90.00
Space group C2/m (No. 12)
Unique sites:
La  0.070  0.000  0.344 [4 per cell]
La  0.170  0.500  0.058 [4 per cell]
Ir  0.000  0.000  0.000 [2 per cell]
Pb  0.144  0.500  0.655 [4 per cell]



DFT (PBE) results for a geometry-optimized La3SeN structure.

Calculated values
**Raw total energy**: -262.44 eV for the cell shown
**Calculated volume**: 1083.8 Å³/cell
**ΔE_f (raw)**: -1.2426 eV/atom

a b c (Å): 14.501 11.308 6.729
angles (deg): 90.00 100.83 90.00
Space group C2/c (No. 15)
Unique sites:
La  0.096  0.244  0.458 [8 per cell]
La  0.099  0.079  0.954 [8 per cell]
La  0.099  0.412  0.916 [8 per cell]
Se  0.246  0.399  0.305 [8 per cell]
N  0.000  0.080  0.250 [4 per cell]
N  0.000  0.244  0.750 [4 per cell]



DFT (PBE) results for a geometry-optimized SrGa3CuPd structure.

Calculated values
**Calculated formation energy**: -0.3324 eV per atom
**Raw total energy**: -88.18 eV for the cell shown
**Calculated volume**: 496.4 Å³/cell

a b c (Å): 6.442 12.451 6.188
angles (deg): 90.00 90.00 90.00
Space group Cmcm (No. 63)
Unique sites:
Sr  0.000  0.235  0.250 [4 per cell]
Ga  0.000  0.330  0.750 [4 per cell]
Ga  0.207  0.000  0.000 [8 per cell]
Cu  0.000  0.481  0.250 [4 per cell]
Pd  0.000  0.131  0.750 [4 per cell]



DFT (PBE) results for a geometry-optimized LuSc2Nb structure.

Calculated values
**Calculated formation energy**: 0.1468 eV per atom
**Raw total energy**: -26.67 eV for the cell shown
**Calculated volume**: 92.0 Å³/cell

a b c (Å): 4.520 4.520 4.504
angles (deg): 90.00 90.00 90.00
Space group P4/mmm (No. 123)
Unique sites:
Lu  0.000  0.000  0.000 [1 per cell]
Sc  0.000  0.500  0.500 [2 per cell]
Nb  0.500  0.500  0.000 [1 per cell]



DFT (PBE) results for a geometry-optimized Ho3Er2Tm structure.

Calculated values
**Calculated formation energy**: 0.0235 eV per atom
**Raw total energy**: -108.76 eV for the cell shown
**Calculated volume**: 729.4 Å³/cell

a b c (Å): 17.172 7.007 6.063
angles (deg): 90.00 90.02 90.00
Space group C2/c (No. 15)
Unique sites:
Ho  0.000  0.125  0.250 [4 per cell]
Ho  0.166  0.375  0.417 [8 per cell]
Er  0.167  0.125  0.917 [8 per cell]
Tm  0.000  0.375  0.750 [4 per cell]



DFT (PBE) results for a geometry-optimized LaAg2Ru2 structure.

Calculated values
**Calculated formation energy**: 0.3645 eV per atom
**Raw total energy**: -54.72 eV for the cell shown
**Calculated volume**: 192.5 Å³/cell

a b c (Å): 7.543 7.543 3.384
angles (deg): 90.00 90.00 90.00
Space group P4/mbm (No. 127)
Unique sites:
La  0.000  0.000  0.000 [2 per cell]
Ag  0.175  0.325  0.500 [4 per cell]
Ru  0.117  0.617  0.000 [4 per cell]



DFT (PBE) results for a geometry-optimized TlV2Co structure.

Calculated values
**Calculated formation energy**: 0.5090 eV per atom
**Raw total energy**: -102.69 eV for the cell shown
**Calculated volume**: 246.3 Å³/cell

a b c (Å): 6.269 6.269 6.269
angles (deg): 90.00 90.00 90.00
Space group Fm-3m (No. 225)
Unique sites:
Tl  0.000  0.000  0.000 [4 per cell]
V  0.250  0.250  0.250 [8 per cell]
Co  0.000  0.000  0.500 [4 per cell]



DFT (PBE) results for a geometry-optimized Lu2ZrPd structure.

Calculated values
**Calculated formation energy**: -0.4470 eV per atom
**Raw total energy**: -24.57 eV for the cell shown
**Calculated volume**: 92.1 Å³/cell

a b c (Å): 3.438 3.438 7.793
angles (deg): 90.00 90.00 90.00
Space group P4/mmm (No. 123)
Unique sites:
Lu  0.000  0.000  0.217 [2 per cell]
Zr  0.500  0.500  0.500 [1 per cell]
Pd  0.500  0.500  0.000 [1 per cell]



DFT (PBE) results for a geometry-optimized Tl2TeSeS2 structure.

Calculated values
**Raw total energy**: -83.01 eV for the cell shown
**Calculated volume**: 769.3 Å³/cell
**ΔE_f (raw)**: -0.1897 eV/atom

a b c (Å): 13.384 6.921 8.306
angles (deg): 90.00 90.00 90.00
Space group Cmc2_1 (No. 36)
Unique sites:
Tl  0.177  0.144  0.000 [8 per cell]
Te  0.000  0.388  0.393 [4 per cell]
Se  0.000  0.044  0.283 [4 per cell]
S  0.141  0.476  0.755 [8 per cell]



DFT (PBE) results for a geometry-optimized Cu2Mo structure.

Calculated values
**Calculated formation energy**: 0.4898 eV per atom
**Raw total energy**: -35.11 eV for the cell shown
**Calculated volume**: 81.2 Å³/cell

a b c (Å): 4.2533 4.2533 5.1817
angles (deg): 90.00 90.00 120.00
Space group P6_3/mmc (No. 194)
Unique sites:
Cu  0.0000  0.0000  0.0000 [2 per cell]
Cu  0.3333  0.6667  0.2500 [2 per cell]
Mo  0.3333  0.6667  0.7500 [2 per cell]



DFT (PBE) results for a geometry-optimized LaRe2As structure.

Calculated values
**Calculated formation energy**: 0.6812 eV per atom
**Raw total energy**: -31.75 eV for the cell shown
**Calculated volume**: 81.1 Å³/cell

a b c (Å): 3.611 3.611 6.216
angles (deg): 90.00 90.00 90.00
Space group P4/mmm (No. 123)
Unique sites:
La  0.000  0.000  0.000 [1 per cell]
Re  0.500  0.500  0.311 [2 per cell]
As  0.000  0.000  0.500 [1 per cell]



DFT (PBE) results for a geometry-optimized ZrNbAu structure.

Calculated values
**Calculated formation energy**: -0.3452 eV per atom
**Raw total energy**: -45.86 eV for the cell shown
**Calculated volume**: 117.0 Å³/cell

a b c (Å): 3.486 3.486 9.633
angles (deg): 90.00 90.00 90.00
Space group P4/nmm (No. 129, origin choice 2)
Unique sites:
Zr  0.250  0.250  0.241 [2 per cell]
Nb  0.250  0.250  0.576 [2 per cell]
Au  0.250  0.250  0.916 [2 per cell]



DFT (PBE) results for a geometry-optimized TiTc3Sb structure.

Calculated values
**Raw total energy**: -37.10 eV for the cell shown
**Calculated volume**: 96.1 Å³/cell
**ΔE_f (raw)**: 1.2033 eV/atom

a b c (Å): 4.581 4.581 4.581
angles (deg): 90.00 90.00 90.00
Space group Pm-3m (No. 221)
Unique sites:
Ti  0.000  0.000  0.000 [1 per cell]
Tc  0.000  0.000  0.500 [3 per cell]
Sb  0.500  0.500  0.500 [1 per cell]



DFT (PBE) results for a geometry-optimized In2CN structure.

Calculated values
**Raw total energy**: -79.26 eV for the cell shown
**Calculated volume**: 268.1 Å³/cell
**ΔE_f (raw)**: 0.8026 eV/atom

a b c (Å): 5.155 5.155 10.090
angles (deg): 90.00 90.00 90.00
Space group I-42d (No. 122)
Unique sites:
In  0.246  0.250  0.125 [8 per cell]
C  0.000  0.000  0.500 [4 per cell]
N  0.000  0.000  0.000 [4 per cell]



DFT (PBE) results for a geometry-optimized LiMnTl3 structure.

Calculated values
**Calculated formation energy**: 0.2997 eV per atom
**Raw total energy**: -16.68 eV for the cell shown
**Calculated volume**: 140.8 Å³/cell

a b c (Å): 5.202 5.202 5.202
angles (deg): 90.00 90.00 90.00
Space group Pm-3m (No. 221)
Unique sites:
Li  0.000  0.000  0.000 [1 per cell]
Mn  0.500  0.500  0.500 [1 per cell]
Tl  0.000  0.500  0.500 [3 per cell]



DFT (PBE) results for a geometry-optimized Cs3KCd2H9 structure.

Calculated values
**Raw total energy**: -35.54 eV for the cell shown
**Calculated volume**: 272.0 Å³/cell

a b c (Å): 6.3224 6.3224 7.8564
angles (deg): 90.00 90.00 120.00
Space group P-3m1 (No. 164)
Unique sites:
Cs  0.0000  0.0000  0.0000 [1 per cell]
Cs  0.3333  0.6667  0.6708 [2 per cell]
K  0.0000  0.0000  0.5000 [1 per cell]
Cd  0.3333  0.6667  0.1620 [2 per cell]
H  0.0000  0.5000  0.0000 [3 per cell]
H  0.1855  0.3710  0.2930 [6 per cell]



DFT (PBE) results for a geometry-optimized GaCu3Pd3 structure.

Calculated values
**Calculated formation energy**: -0.2020 eV per atom
**Raw total energy**: -129.23 eV for the cell shown
**Calculated volume**: 412.3 Å³/cell

a b c (Å): 8.365 8.491 5.804
angles (deg): 90.00 90.00 90.00
Space group Cmmm (No. 65)
Unique sites:
Ga  0.000  0.242  0.000 [4 per cell]
Cu  0.000  0.215  0.500 [4 per cell]
Cu  0.211  0.000  0.000 [4 per cell]
Cu  0.221  0.000  0.500 [4 per cell]
Pd  0.000  0.500  0.254 [4 per cell]
Pd  0.250  0.250  0.249 [8 per cell]



DFT (PBE) results for a geometry-optimized PmTh2Al structure.

Calculated values
**Calculated formation energy**: 0.0669 eV per atom
**Raw total energy**: -92.26 eV for the cell shown
**Calculated volume**: 461.9 Å³/cell

a b c (Å): 7.730 7.730 7.730
angles (deg): 90.00 90.00 90.00
Space group Fm-3m (No. 225)
Unique sites:
Pm  0.000  0.000  0.000 [4 per cell]
Th  0.250  0.250  0.250 [8 per cell]
Al  0.000  0.000  0.500 [4 per cell]



DFT (PBE) results for a geometry-optimized Pm8DySn6 structure.

Calculated values
**Calculated formation energy**: -0.5668 eV per atom
**Raw total energy**: -225.38 eV for the cell shown
**Calculated volume**: 1469.1 Å³/cell

a b c (Å): 9.2674 9.2674 19.7512
angles (deg): 90.00 90.00 120.00
Space group R-3 (No. 148, hexagonal axes)
Unique sites:
Pm  0.0000  0.0000  0.1663 [6 per cell]
Pm  0.0008  0.6645  0.3958 [18 per cell]
Dy  0.0000  0.0000  0.5000 [3 per cell]
Sn  0.9995  0.3289  0.4328 [18 per cell]



DFT (PBE) results for a geometry-optimized Rb2ThSb2S6 structure.

Calculated values
**Raw total energy**: -106.19 eV for the cell shown
**Calculated volume**: 701.8 Å³/cell
**ΔE_f (raw)**: -0.9757 eV/atom

a b c (Å): 11.366 7.516 8.764
angles (deg): 90.00 110.39 90.00
Space group C2/m (No. 12)
Unique sites:
Rb  0.191  0.000  0.125 [4 per cell]
Th  0.000  0.000  0.500 [2 per cell]
Sb  0.085  0.500  0.219 [4 per cell]
S  0.047  0.244  0.762 [8 per cell]
S  0.247  0.000  0.521 [4 per cell]



DFT (PBE) results for a geometry-optimized Sr3CePt8 structure.

Calculated values
**Calculated formation energy**: -0.9018 eV per atom
**Raw total energy**: -210.38 eV for the cell shown
**Calculated volume**: 727.2 Å³/cell

a b c (Å): 5.5588 5.5588 27.1732
angles (deg): 90.00 90.00 120.00
Space group R3m (No. 160, hexagonal axes)
Unique sites:
Sr  0.0000  0.0000  0.0000 [3 per cell]
Sr  0.0000  0.0000  0.1240 [3 per cell]
Sr  0.0000  0.0000  0.4967 [3 per cell]
Ce  0.0000  0.0000  0.6231 [3 per cell]
Pt  0.0000  0.0000  0.3108 [3 per cell]
Pt  0.0000  0.0000  0.8108 [3 per cell]
Pt  0.0027  0.5014  0.5625 [9 per cell]
Pt  0.1681  0.3362  0.3924 [9 per cell]



DFT (PBE) results for a geometry-optimized Ta2AgRh structure.

Calculated values
**Calculated formation energy**: 0.1065 eV per atom
**Raw total energy**: -66.96 eV for the cell shown
**Calculated volume**: 136.0 Å³/cell

a b c (Å): 9.706 2.942 4.907
angles (deg): 90.00 103.90 90.00
Space group C2/m (No. 12)
Unique sites:
Ta  0.241  0.000  0.242 [4 per cell]
Ag  0.000  0.000  0.500 [2 per cell]
Rh  0.000  0.500  0.000 [2 per cell]



DFT (PBE) results for a geometry-optimized Tm3Mg4Ag structure.

Calculated values
**Calculated formation energy**: -0.0891 eV per atom
**Raw total energy**: -23.36 eV for the cell shown
**Calculated volume**: 195.7 Å³/cell

a b c (Å): 3.626 3.626 14.886
angles (deg): 90.00 90.00 90.00
Space group P4/mmm (No. 123)
Unique sites:
Tm  0.000  0.000  0.000 [1 per cell]
Tm  0.000  0.000  0.259 [2 per cell]
Mg  0.500  0.500  0.130 [2 per cell]
Mg  0.500  0.500  0.398 [2 per cell]
Ag  0.000  0.000  0.500 [1 per cell]